Record 1
CaLa2P after structural relaxation, computed with PBE-GGA.

Output
N(E_F) in states/eV/f.u.: 5.221
Density in g/cm³: 5.15
Calculated formation energy in eV/atom: -0.3007
SG: I4/mmm, No. 139

Unit cell a=6.1538 b=6.1538 c=6.1538 alpha=135.59 beta=135.59 gamma=64.62
Last column: nearest neighbours and their distance in Å.
Atoms (fractional coordinates):
Ca (0.0000, 0.0000, 0.0000)  4 P 3.29, 8 La 3.49
La (0.2500, 0.7500, 0.5000)  4 La 3.29, 4 P 3.49, 4 Ca 3.49
La (0.7500, 0.2500, 0.5000)  4 La 3.29, 4 P 3.49, 4 Ca 3.49
P (0.5000, 0.5000, 0.0000)  4 Ca 3.29, 8 La 3.49


Record 2
Pm4YTh3As8 after structural relaxation, computed with PBE-GGA.

Output
N(E_F) in states/eV/f.u.: 5.849
Density in g/cm³: 7.60
Calculated formation energy in eV/atom: -1.5012
SG: R-3m, No. 166

Unit cell a=8.4642 b=8.4642 c=8.4642 alpha=60.03 beta=60.03 gamma=60.03
Last column: nearest neighbours and their distance in Å.
Atoms (fractional coordinates):
Pm (0.0000, 0.0000, 0.0000)  6 As 3.02
Pm (0.0000, 0.5000, 0.5000)  6 As 2.99-3.00
Pm (0.5000, 0.0000, 0.5000)  6 As 2.99-3.00
Pm (0.5000, 0.5000, 0.0000)  6 As 2.99-3.00
Y (0.5000, 0.5000, 0.5000)  6 As 2.97
Th (0.0000, 0.0000, 0.5000)  6 As 2.99
Th (0.0000, 0.5000, 0.0000)  6 As 2.99
Th (0.5000, 0.0000, 0.0000)  6 As 2.99
As (0.2499, 0.2499, 0.2499)  3 Th 2.99, 3 Pm 2.99
As (0.2514, 0.7477, 0.7477)  1 Y 2.97, 2 Th 2.99, 3 Pm 3.00-3.02
As (0.2523, 0.2523, 0.7486)  1 Y 2.97, 2 Th 2.99, 3 Pm 3.00-3.02
As (0.2523, 0.7486, 0.2523)  1 Y 2.97, 2 Th 2.99, 3 Pm 3.00-3.02
As (0.7477, 0.2513, 0.7477)  1 Y 2.97, 2 Th 2.99, 3 Pm 3.00-3.02
As (0.7477, 0.7477, 0.2513)  1 Y 2.97, 2 Th 2.99, 3 Pm 3.00-3.02
As (0.7487, 0.2523, 0.2523)  1 Y 2.97, 2 Th 2.99, 3 Pm 3.00-3.02
As (0.7501, 0.7501, 0.7501)  3 Th 2.99, 3 Pm 2.99


Record 3
SnRuI2N after structural relaxation, computed with PBE-GGA.

Output
N(E_F) in states/eV/f.u.: 3.024
Density in g/cm³: 6.03
Formation energy (no corrections) in eV per atom: 0.342
SG: P4/mmm, No. 123

Unit cell a=5.9380 b=5.9380 c=3.8097 alpha=90.00 beta=90.00 gamma=90.00
Last column: nearest neighbours and their distance in Å.
Atoms (fractional coordinates):
Sn (0.0000, 0.0000, 0.0000)  8 I 3.53, 2 Sn 3.81
Ru (0.5000, 0.5000, 0.5000)  2 N 1.90
I (0.0000, 0.5000, 0.5000)  2 Ru 2.97
I (0.5000, 0.0000, 0.5000)  2 Ru 2.97
N (0.5000, 0.5000, 0.0000)  2 Ru 1.90


> What is the density in the second record?

7.60 g/cm³


> Which of these has the lowest density?

CaLa2P


> density of number 2 (Pm4YTh3As8)?

7.60 g/cm³


> Which value of N(E_F) does entry 3 give?

3.024 states/eV/f.u.